No. 1
VASP calculation (PBE) on a relaxed structure of RbEr2PuO8.

Cell: 5.0828 5.0782 7.6891 Å, 89.97 89.97 90.05°
Last column: nearest neighbours and their distance in Å.
Positions (direct):
1 Pu 0.0000 0.0000 0.0000  6 O 1.97-2.14
2 O 0.6038 0.6075 0.4998  1 O 1.52
3 O 0.1881 0.8102 0.8147  1 Pu 1.97
4 O 0.8119 0.1898 0.1853  1 Pu 1.97
5 O 0.1876 0.8097 0.1853  1 Pu 1.97
6 O 0.7008 0.7029 0.0000  1 Pu 2.14, 2 Er 2.20
7 Er 0.4999 0.4999 0.2153  6 O 2.20-2.32
8 O 0.8124 0.1903 0.8147  1 Pu 1.97
9 O 0.3962 0.3925 0.5002  1 O 1.52
10 Er 0.5001 0.5001 0.7847  6 O 2.20-2.32
11 Rb 0.0000 0.0000 0.5000  6 O 2.77-2.83
12 O 0.2992 0.2971 0.0000  1 Pu 2.14, 2 Er 2.20

Summary:
- electronic total energy (eV for the cell shown) = -94.45
- V (Å³/cell) = 198.47
- space-group type = P2/m
- total magnetic moment (μB/f.u.) = 0.96


No. 2
VASP calculation (PBE) on a relaxed structure of Rb3Er3PuO8.

Cell: 6.9278 6.9278 7.7546 Å, 116.56 89.99 120.00°
Last column: nearest neighbours and their distance in Å.
Positions (direct):
1 Er 0.5000 0.5000 0.5000  6 O 2.29-2.30
2 O 0.7819 0.5637 0.3344  1 Pu 2.24, 2 Er 2.30
3 Er 0.0000 0.5000 0.5000  6 O 2.29-2.30
4 O 0.2705 0.0524 0.3343  1 Pu 2.24, 2 Er 2.30
5 O 0.7819 0.0524 0.3343  1 Pu 2.24, 2 Er 2.30
6 O 0.2181 0.9476 0.6657  1 Pu 2.24, 2 Er 2.30
7 O 0.2772 0.5543 0.3316  3 Er 2.29
8 Rb 0.5000 0.5000 0.0000  6 O 2.97-2.98
9 Er 0.5000 0.0000 0.5000  6 O 2.29-2.30
10 O 0.7228 0.4457 0.6684  3 Er 2.29
11 Pu 0.0000 0.0000 0.5000  6 O 2.24
12 O 0.7295 0.9476 0.6657  1 Pu 2.24, 2 Er 2.30
13 O 0.2181 0.4363 0.6656  1 Pu 2.24, 2 Er 2.30
14 Rb 0.0000 0.5000 0.0000  6 O 2.97-2.98
15 Rb 0.0000 0.0000 0.0000  6 O 2.97

Summary:
- electronic total energy (eV for the cell shown) = -112.57
- V (Å³/cell) = 276.04
- space-group type = R-3m
- total magnetic moment (μB/f.u.) = 4.00


No. 3
VASP calculation (PBE) on a relaxed structure of Rb2Er2PuO6.

Cell: 5.9893 5.9893 6.9809 Å, 98.34 98.34 119.98°
Last column: nearest neighbours and their distance in Å.
Positions (direct):
1 O 0.0499 0.3847 0.6641  2 Er 2.27-2.30, 1 Pu 2.27
2 Er 0.6659 0.3341 0.5000  6 O 2.27-2.30
3 O 0.9501 0.6153 0.3359  2 Er 2.27-2.30, 1 Pu 2.27
4 Er 0.3341 0.6659 0.5000  6 O 2.27-2.30
5 Pu 0.0000 0.0000 0.5000  6 O 2.22-2.27
6 O 0.7323 0.7323 0.6630  1 Pu 2.22, 2 Er 2.30
7 Rb 0.1685 0.8315 0.0000  6 O 2.99-3.00
8 O 0.6153 0.9501 0.3359  2 Er 2.27-2.30, 1 Pu 2.27
9 O 0.3847 0.0499 0.6641  2 Er 2.27-2.30, 1 Pu 2.27
10 Rb 0.8315 0.1685 0.0000  6 O 2.99-3.00
11 O 0.2677 0.2677 0.3370  1 Pu 2.22, 2 Er 2.30

Summary:
- electronic total energy (eV for the cell shown) = -86.24
- V (Å³/cell) = 207.58
- space-group type = C2/m
- total magnetic moment (μB/f.u.) = 4.00


No. 4
VASP calculation (PBE) on a relaxed structure of Rb2ErPu3O12.

Cell: 7.7059 7.7059 7.7059 Å, 62.13 62.13 62.13°
Last column: nearest neighbours and their distance in Å.
Positions (direct):
1 O 0.0669 0.6884 0.6884  2 Pu 2.10
2 O 0.3383 0.9279 0.9279  1 Pu 1.94
3 O 0.3116 0.3116 0.9331  2 Pu 2.10
4 Rb 0.3710 0.3710 0.3710  6 O 3.31-3.51
5 O 0.3116 0.9331 0.3116  2 Pu 2.10
6 O 0.9279 0.3383 0.9279  1 Pu 1.94
7 O 0.0721 0.6617 0.0721  1 Pu 1.94
8 O 0.6884 0.0669 0.6884  2 Pu 2.10
9 O 0.6617 0.0721 0.0721  1 Pu 1.94
10 Er 0.0000 0.0000 0.0000  6 O 2.23
11 Pu 0.0000 0.0000 0.5000  6 O 1.94-2.10
12 O 0.6884 0.6884 0.0669  2 Pu 2.10
13 Rb 0.6290 0.6290 0.6290  6 O 3.31-3.51
14 Pu 0.0000 0.5000 0.0000  6 O 1.94-2.10
15 O 0.9331 0.3116 0.3116  2 Pu 2.10
16 O 0.9279 0.9279 0.3383  1 Pu 1.94
17 O 0.0721 0.0721 0.6617  1 Pu 1.94
18 Pu 0.5000 0.0000 0.0000  6 O 1.94-2.10

Summary:
- electronic total energy (eV for the cell shown) = -155.04
- V (Å³/cell) = 338.97
- space-group type = R-3m
- total magnetic moment (μB/f.u.) = 5.00


No. 5
VASP calculation (PBE) on a relaxed structure of Er2PuRhO8.

Cell: 4.9964 4.9908 6.6190 Å, 90.00 90.00 91.87°
Last column: nearest neighbours and their distance in Å.
Positions (direct):
1 O 0.2854 0.2846 0.5000  1 Rh 1.98, 2 Er 2.19
2 O 0.1800 0.8189 0.7481  1 Rh 2.09, 1 Pu 2.11, 1 Er 2.29
3 O 0.2954 0.2942 0.0000  1 Pu 2.05, 2 Er 2.23
4 Pu 0.0000 0.0000 0.0000  6 O 2.05-2.11
5 O 0.1800 0.8189 0.2519  1 Rh 2.09, 1 Pu 2.11, 1 Er 2.29
6 O 0.7146 0.7154 0.5000  1 Rh 1.98, 2 Er 2.19
7 O 0.8200 0.1811 0.7481  1 Rh 2.09, 1 Pu 2.11, 1 Er 2.29
8 Rh 0.0000 0.0000 0.5000  6 O 1.98-2.09
9 O 0.7046 0.7058 0.0000  1 Pu 2.05, 2 Er 2.23
10 Er 0.5000 0.5000 0.7414  6 O 2.19-2.29
11 O 0.8200 0.1811 0.2519  1 Rh 2.09, 1 Pu 2.11, 1 Er 2.29
12 Er 0.5000 0.5000 0.2586  6 O 2.19-2.29

Summary:
- electronic total energy (eV for the cell shown) = -99.87
- V (Å³/cell) = 164.96
- space-group type = Cmmm
- total magnetic moment (μB/f.u.) = 2.73


No. 6
VASP calculation (PBE) on a relaxed structure of ErPuS2O.

Cell: 3.8377 3.8377 13.6637 Å, 90.00 90.00 90.00°
Last column: nearest neighbours and their distance in Å.
Positions (direct):
1 O 0.0000 0.0000 0.5000  4 Pu 2.30
2 Er 0.5000 0.0000 0.1179  6 S 2.57-2.87
3 O 0.5000 0.5000 0.5000  4 Pu 2.30
4 S 0.5000 0.0000 0.3058  1 Er 2.57
5 Pu 0.0000 0.5000 0.4074  4 O 2.30
6 Pu 0.5000 0.0000 0.5926  4 O 2.30
7 S 0.5000 0.0000 0.9076  5 Er 2.74-2.87
8 S 0.0000 0.5000 0.6942  1 Er 2.57
9 S 0.0000 0.5000 0.0924  5 Er 2.74-2.87
10 Er 0.0000 0.5000 0.8821  6 S 2.57-2.87

Summary:
- electronic total energy (eV for the cell shown) = -87.45
- V (Å³/cell) = 201.23
- space-group type = P4/nmm
- total magnetic moment (μB/f.u.) = 4.75


No. 7
VASP calculation (PBE) on a relaxed structure of ErPuSbO2.

Cell: 3.8633 3.8633 7.0081 Å, 106.00 106.00 90.00°
Last column: nearest neighbours and their distance in Å.
Positions (direct):
1 Pu 0.1569 0.1569 0.3138  4 O 2.29
2 O 0.7521 0.2521 0.5043  2 Er 2.23, 2 Pu 2.29
3 O 0.2521 0.7521 0.5043  2 Er 2.23, 2 Pu 2.29
4 Er 0.8382 0.8382 0.6764  4 O 2.23
5 Sb 0.5006 0.5006 0.0012  4 Pu 3.40, 4 Er 3.44, 8 O 3.74-3.78

Summary:
- electronic total energy (eV for the cell shown) = -45.33
- V (Å³/cell) = 96.32
- space-group type = I4mm
- total magnetic moment (μB/f.u.) = 4.58


No. 8
VASP calculation (PBE) on a relaxed structure of Er2PuScO8.

Cell: 4.9930 4.9926 6.7823 Å, 90.00 90.00 92.03°
Last column: nearest neighbours and their distance in Å.
Positions (direct):
1 O 0.7047 0.7051 0.5000  1 Sc 2.05, 2 Er 2.15
2 O 0.2953 0.2949 0.5000  1 Sc 2.05, 2 Er 2.15
3 O 0.8181 0.1825 0.2309  1 Pu 2.04, 1 Sc 2.25
4 Er 0.5000 0.5000 0.7383  6 O 2.15-2.31
5 O 0.2875 0.2866 0.0000  1 Pu 1.99
6 Pu 0.0000 0.0000 0.0000  6 O 1.99-2.04
7 Sc 0.0000 0.0000 0.5000  6 O 2.05-2.25
8 O 0.8182 0.1825 0.7691  1 Pu 2.04, 1 Sc 2.25
9 O 0.7125 0.7134 0.0000  1 Pu 1.99
10 O 0.1818 0.8175 0.2309  1 Pu 2.04, 1 Sc 2.25
11 O 0.1819 0.8175 0.7691  1 Pu 2.04, 1 Sc 2.25
12 Er 0.5000 0.5000 0.2617  6 O 2.15-2.31

Summary:
- electronic total energy (eV for the cell shown) = -106.38
- V (Å³/cell) = 168.96
- space-group type = Cmmm
- total magnetic moment (μB/f.u.) = 1.00


No. 9
VASP calculation (PBE) on a relaxed structure of ErPuSe2O.

Cell: 3.9631 3.9631 14.2910 Å, 90.00 90.00 90.00°
Last column: nearest neighbours and their distance in Å.
Positions (direct):
1 Se 0.5000 0.0000 0.3087  1 Er 2.68
2 Se 0.5000 0.0000 0.9088  5 Er 2.83-3.03
3 Se 0.0000 0.5000 0.0912  5 Er 2.83-3.03
4 Pu 0.5000 0.0000 0.5837  4 O 2.31
5 O 0.5000 0.5000 0.5000  4 Pu 2.31
6 Se 0.0000 0.5000 0.6913  1 Er 2.68
7 Er 0.0000 0.5000 0.8790  5 Se 2.68-2.83
8 Er 0.5000 0.0000 0.1210  5 Se 2.68-2.83
9 O 0.0000 0.0000 0.5000  4 Pu 2.31
10 Pu 0.0000 0.5000 0.4163  4 O 2.31

Summary:
- electronic total energy (eV for the cell shown) = -83.52
- V (Å³/cell) = 224.46
- space-group type = P4/nmm
- total magnetic moment (μB/f.u.) = 4.80


> Among the records above, which one has the highest V?

Rb2ErPu3O12